(1)
An optimized crystal structure of Pm2BeGeN, computed with PBE.

Lattice parameters (Å, degrees): 3.8335 6.3186 8.1455 108.39 90.00 90.00
Last column: nearest neighbours and their distance in Å.
Atoms (fractional coordinates):
Ge: 0.2500 0.6700 0.2958  2 Be 2.33
Ge: 0.7500 0.3300 0.7042  2 Be 2.33
N: 0.7500 0.1806 0.1697  1 Be 1.61
N: 0.2500 0.8194 0.8303  1 Be 1.61
Be: 0.2500 0.5512 0.7576  1 N 1.61
Be: 0.7500 0.4488 0.2424  1 N 1.61
Pm: 0.7500 0.7939 0.6101  2 N 2.60
Pm: 0.2500 0.2137 0.9632  3 N 2.38-2.60
Pm: 0.2500 0.2061 0.3899  2 N 2.60
Pm: 0.7500 0.7863 0.0368  3 N 2.38-2.60

Output
raw formation energy = -490 kJ/mol of formula units
density of states at the Fermi level = 4.599 states/eV per cell


(2)
An optimized crystal structure of Ba2Nb2H, computed with PBE.

Lattice parameters (Å, degrees): 3.7723 3.7723 10.1963 79.34 79.34 90.00
Last column: nearest neighbours and their distance in Å.
Atoms (fractional coordinates):
Nb: 0.2500 0.7500 0.5000  4 Nb 2.67
Nb: 0.7500 0.2500 0.5000  4 Nb 2.67
H: 0.0000 0.0000 0.0000  8 Ba 3.22
Ba: 0.4086 0.4086 0.1827  4 H 3.22, 1 Ba 3.60
Ba: 0.5914 0.5914 0.8173  4 H 3.22, 1 Ba 3.60

Output
energy above the lowest structure with this stoichiometry = 0 meV/atom
density of states at the Fermi level = 4.039 states/eV per cell


- Which value of density of states at the Fermi level does entry 2 give?
  4.039 states/eV per cell


- density of states at the Fermi level of number 2 (Ba2Nb2H)?
  4.039 states/eV per cell


- The lowest density of states at the Fermi level belongs to which entry?
  Ba2Nb2H


- Which value of density of states at the Fermi level does entry 2 give?
  4.039 states/eV per cell